This record from Alexandria via LeMat-Bulk describes NaHfPb3 after structural relaxation. The functional is PBE.

Computed properties:
crystal system = cubic
DFT formation energy = 177 meV/atom

POSCAR file:
```
NaHfPb3
1.0
5.6708 0.0000 0.0000
0.0000 5.6708 0.0000
0.0000 0.0000 5.6708
Na Hf Pb
1 1 3
Direct
0.0000 0.0000 0.0000 Na
0.5000 0.5000 0.5000 Hf
0.0000 0.5000 0.5000 Pb
0.5000 0.0000 0.5000 Pb
0.5000 0.5000 0.0000 Pb
```